1.
# Tm6IrPb2 GGA-PBE optimized geometry
# ΔE_f (kJ/mol of atoms): -37.0
# Magnetization (Bohr magnetons per cell): 0.00
data_Tm6IrPb2
_chemical_formula_sum 'Tm12 Ir2 Pb4'
_space_group_name_H-M_alt 'I m m m'
_space_group_IT_number 71
_space_group_name_Hall '-I 2 2'
_cell_length_a 5.083
_cell_length_b 7.109
_cell_length_c 14.954
_cell_angle_alpha 90.00
_cell_angle_beta 90.00
_cell_angle_gamma 90.00
loop_
_atom_site_label
_atom_site_fract_x
_atom_site_fract_y
_atom_site_fract_z
Tm1 0.000 0.224 0.000
Tm2 0.000 0.262 0.352
Ir1 0.000 0.500 0.500
Pb1 0.000 0.500 0.174

=====

2.
# Zn2Co5B2 GGA-PBE optimized geometry
# ΔE_f (kJ/mol of atoms): -15.2
# Magnetization (Bohr magnetons per cell): 12.12
data_Zn2Co5B2
_chemical_formula_sum 'Zn8 Co20 B8'
_space_group_name_H-M_alt 'C m c e'
_space_group_IT_number 64
_space_group_name_Hall '-C 2ac 2'
_cell_length_a 13.117
_cell_length_b 5.326
_cell_length_c 5.322
_cell_angle_alpha 90.00
_cell_angle_beta 90.00
_cell_angle_gamma 90.00
loop_
_atom_site_label
_atom_site_fract_x
_atom_site_fract_y
_atom_site_fract_z
Zn1 0.230 0.000 0.000
Co1 0.000 0.000 0.000
Co2 0.105 0.171 0.328
B1 0.000 0.122 0.622

=====

3.
# La6Pr2Al GGA-PBE optimized geometry
# ΔE_f (kJ/mol of atoms): 3.9
# Polymorph energy (0 for the lowest one) (eV per atom): 0.110
# Magnetization (Bohr magnetons per cell): 0.00
data_La6Pr2Al
_chemical_formula_sum 'La24 Pr8 Al4'
_space_group_name_H-M_alt 'C 1 2/c 1'
_space_group_IT_number 15
_cell_length_a 12.135
_cell_length_b 15.200
_cell_length_c 7.014
_cell_angle_alpha 90.00
_cell_angle_beta 97.65
_cell_angle_gamma 90.00
loop_
_space_group_symop_operation_xyz
'x,y,z'
'-x,-y,-z'
'-x,y,-z+1/2'
'x,-y,z+1/2'
'x+1/2,y+1/2,z'
'-x+1/2,-y+1/2,-z'
'-x+1/2,y+1/2,-z+1/2'
'x+1/2,-y+1/2,z+1/2'
loop_
_atom_site_label
_atom_site_fract_x
_atom_site_fract_y
_atom_site_fract_z
La1 0.114 0.192 0.119
La2 0.130 0.453 0.946
La3 0.134 0.297 0.621
Pr1 0.126 0.062 0.624
Al1 0.000 0.372 0.250

=====

4.
# Mg2CrRu GGA-PBE optimized geometry
# ΔE_f (kJ/mol of atoms): 23.7
# Polymorph energy (0 for the lowest one) (eV per atom): 0.201
# Magnetization (Bohr magnetons per cell): 6.15
data_Mg2CrRu
_chemical_formula_sum 'Mg4 Cr2 Ru2'
_space_group_name_H-M_alt 'I 4/m m m'
_space_group_IT_number 139
_space_group_name_Hall '-I 4 2'
_cell_length_a 3.946
_cell_length_b 3.946
_cell_length_c 8.355
_cell_angle_alpha 90.00
_cell_angle_beta 90.00
_cell_angle_gamma 90.00
loop_
_atom_site_label
_atom_site_fract_x
_atom_site_fract_y
_atom_site_fract_z
Mg1 0.000 0.500 0.250
Cr1 0.000 0.000 0.000
Ru1 0.000 0.000 0.500

=====

5.
# SrThCdHg GGA-PBE optimized geometry
# ΔE_f (kJ/mol of atoms): -16.8
# Magnetization (Bohr magnetons per cell): 0.00
data_SrThCdHg
_chemical_formula_sum 'Sr4 Th4 Cd4 Hg4'
_space_group_name_H-M_alt 'F -4 3 m'
_space_group_IT_number 216
_space_group_name_Hall 'F -4 2 3'
_cell_length_a 7.828
_cell_length_b 7.828
_cell_length_c 7.828
_cell_angle_alpha 90.00
_cell_angle_beta 90.00
_cell_angle_gamma 90.00
loop_
_atom_site_label
_atom_site_fract_x
_atom_site_fract_y
_atom_site_fract_z
Sr1 0.000 0.000 0.000
Th1 0.000 0.000 0.500
Cd1 0.250 0.250 0.250
Hg1 0.250 0.250 0.750

=====

6.
# La4Tb2Pm GGA-PBE optimized geometry
# ΔE_f (kJ/mol of atoms): 20.8
# Polymorph energy (0 for the lowest one) (eV per atom): 0.147
# Magnetization (Bohr magnetons per cell): 0.00
data_La4Tb2Pm
_chemical_formula_sum 'La16 Tb8 Pm4'
_space_group_name_H-M_alt 'I m m a'
_space_group_IT_number 74
_space_group_name_Hall '-I 2b 2'
_cell_length_a 6.990
_cell_length_b 11.674
_cell_length_c 12.215
_cell_angle_alpha 90.00
_cell_angle_beta 90.00
_cell_angle_gamma 90.00
loop_
_atom_site_label
_atom_site_fract_x
_atom_site_fract_y
_atom_site_fract_z
La1 0.000 0.001 0.151
La2 0.218 0.250 0.007
Tb1 0.000 0.000 0.500
Tb2 0.000 0.250 0.283
Pm1 0.250 0.250 0.750

=====

7.
# Pr4MgCu GGA-PBE optimized geometry
# ΔE_f (kJ/mol of atoms): 21.2
# Polymorph energy (0 for the lowest one) (eV per atom): 0.294
# Magnetization (Bohr magnetons per cell): 0.00
data_Pr4MgCu
_chemical_formula_sum 'Pr4 Mg1 Cu1'
_space_group_name_H-M_alt 'P 1 2/m 1'
_space_group_IT_number 10
_cell_length_a 5.015
_cell_length_b 4.993
_cell_length_c 8.066
_cell_angle_alpha 90.00
_cell_angle_beta 90.06
_cell_angle_gamma 90.00
loop_
_space_group_symop_operation_xyz
'x,y,z'
'-x,-y,-z'
'-x,y,-z'
'x,-y,z'
loop_
_atom_site_label
_atom_site_fract_x
_atom_site_fract_y
_atom_site_fract_z
Pr1 0.000 0.000 0.215
Pr2 0.500 0.500 0.215
Mg1 0.000 0.500 0.500
Cu1 0.500 0.000 0.000

=====

8.
# Pm4HgPt3 GGA-PBE optimized geometry
# ΔE_f (kJ/mol of atoms): -95.1
# Magnetization (Bohr magnetons per cell): 0.00
data_Pm4HgPt3
_chemical_formula_sum 'Pm4 Hg1 Pt3'
_space_group_name_H-M_alt 'P m m 2'
_space_group_IT_number 25
_cell_length_a 3.875
_cell_length_b 4.665
_cell_length_c 11.054
_cell_angle_alpha 90.00
_cell_angle_beta 90.00
_cell_angle_gamma 90.00
loop_
_space_group_symop_operation_xyz
'x,y,z'
'-x,-y,z'
'-x,y,z'
'x,-y,z'
loop_
_atom_site_label
_atom_site_fract_x
_atom_site_fract_y
_atom_site_fract_z
Pm1 0.000 0.000 0.000
Pm2 0.000 0.500 0.261
Pm3 0.500 0.000 0.474
Pm4 0.500 0.500 0.769
Hg1 0.000 0.000 0.708
Pt1 0.000 0.500 0.535
Pt2 0.500 0.000 0.211
Pt3 0.500 0.500 0.037

=====

9.
# BeIn2Mo GGA-PBE optimized geometry
# ΔE_f (kJ/mol of atoms): 58.1
# Magnetization (Bohr magnetons per cell): 0.00
data_BeIn2Mo
_chemical_formula_sum 'Be1 In2 Mo1'
_space_group_name_H-M_alt 'P 4/m m m'
_space_group_IT_number 123
_space_group_name_Hall '-P 4 2'
_cell_length_a 2.887
_cell_length_b 2.887
_cell_length_c 8.513
_cell_angle_alpha 90.00
_cell_angle_beta 90.00
_cell_angle_gamma 90.00
loop_
_atom_site_label
_atom_site_fract_x
_atom_site_fract_y
_atom_site_fract_z
Be1 0.000 0.000 0.000
In1 0.500 0.500 0.233
Mo1 0.000 0.000 0.500

=====

10.
# Ce6OsAu GGA-PBE optimized geometry
# ΔE_f (kJ/mol of atoms): -14.7
# Magnetization (Bohr magnetons per cell): 3.59
data_Ce6OsAu
_chemical_formula_sum 'Ce12 Os2 Au2'
_space_group_name_H-M_alt 'I 4/m m m'
_space_group_IT_number 139
_space_group_name_Hall '-I 4 2'
_cell_length_a 5.109
_cell_length_b 5.109
_cell_length_c 15.178
_cell_angle_alpha 90.00
_cell_angle_beta 90.00
_cell_angle_gamma 90.00
loop_
_atom_site_label
_atom_site_fract_x
_atom_site_fract_y
_atom_site_fract_z
Ce1 0.000 0.000 0.218
Ce2 0.000 0.500 0.111
Os1 0.000 0.000 0.000
Au1 0.000 0.000 0.500

=====

11.
# BeBTe2 GGA-PBE optimized geometry
# Formation energy without anion corrections (meV per atom): 404.9
# Polymorph energy (0 for the lowest one) (eV per atom): 0.000
# Magnetization (Bohr magnetons per cell): 0.00
data_BeBTe2
_chemical_formula_sum 'Be4 B4 Te8'
_space_group_name_H-M_alt 'I -4 2 d'
_space_group_IT_number 122
_space_group_name_Hall 'I -4 2bw'
_cell_length_a 5.473
_cell_length_b 5.473
_cell_length_c 11.423
_cell_angle_alpha 90.00
_cell_angle_beta 90.00
_cell_angle_gamma 90.00
loop_
_atom_site_label
_atom_site_fract_x
_atom_site_fract_y
_atom_site_fract_z
Be1 0.000 0.000 0.000
B1 0.000 0.000 0.500
Te1 0.240 0.250 0.625

=====

12.
# AcUAgO6 GGA-PBE optimized geometry
# Formation energy without anion corrections (meV per atom): -2231.6
# Magnetization (Bohr magnetons per cell): 0.00
data_AcUAgO6
_chemical_formula_sum 'Ac2 U2 Ag2 O12'
_space_group_name_H-M_alt 'P 42 n m'
_space_group_IT_number 102
_cell_length_a 5.409
_cell_length_b 5.409
_cell_length_c 10.295
_cell_angle_alpha 90.00
_cell_angle_beta 90.00
_cell_angle_gamma 90.00
loop_
_space_group_symop_operation_xyz
'x,y,z'
'-y+1/2,x+1/2,z+1/2'
'-x,-y,z'
'y+1/2,-x+1/2,z+1/2'
'-x+1/2,y+1/2,z+1/2'
'y,x,z'
'x+1/2,-y+1/2,z+1/2'
'-y,-x,z'
loop_
_atom_site_label
_atom_site_fract_x
_atom_site_fract_y
_atom_site_fract_z
Ac1 0.000 0.000 0.000
U1 0.000 0.000 0.654
Ag1 0.000 0.000 0.326
O1 0.169 0.169 0.491
O2 0.175 0.175 0.793
O3 0.206 0.206 0.176